This record from Alexandria describes a geometry-optimized BeCdW3 structure. The functional is PBEsol.

Properties
final energy	-29.423	eV per cell
ΔH_f (0 K)	3439.4	meV per atom

Geometry as CIF:
```
data_BeCdW3
_space_group_name_H-M_alt 'P m -3 m'
_space_group_IT_number 221
_space_group_name_Hall '-P 4 2 3'
_cell_length_a 4.7699
_cell_length_b 4.7699
_cell_length_c 4.7699
_cell_angle_alpha 90.00
_cell_angle_beta 90.00
_cell_angle_gamma 90.00
loop_
_atom_site_label
_atom_site_type_symbol
_atom_site_fract_x
_atom_site_fract_y
_atom_site_fract_z
Be1 Be 0.0000 0.0000 0.0000
Cd1 Cd 0.5000 0.5000 0.5000
W1 W 0.0000 0.5000 0.5000
```

---

This record from Alexandria describes a geometry-optimized BeCd3W structure. The functional is PBEsol.

Properties
final energy	-12.033	eV per cell
ΔH_f (0 K)	1873.2	meV per atom

Geometry as CIF:
```
data_BeCd3W
_space_group_name_H-M_alt 'P m -3 m'
_space_group_IT_number 221
_space_group_name_Hall '-P 4 2 3'
_cell_length_a 5.2664
_cell_length_b 5.2664
_cell_length_c 5.2664
_cell_angle_alpha 90.00
_cell_angle_beta 90.00
_cell_angle_gamma 90.00
loop_
_atom_site_label
_atom_site_type_symbol
_atom_site_fract_x
_atom_site_fract_y
_atom_site_fract_z
Be1 Be 0.0000 0.0000 0.0000
Cd1 Cd 0.0000 0.5000 0.5000
W1 W 0.5000 0.5000 0.5000
```